# Ti2CrCd PBE optimized geometry
# Density of states at the Fermi level = 1.006 states/eV per atom
# Energy of formation from the pure elements = -31.6 meV/atom
# Crystal system = tetragonal
# Total DFT energy (no corrections) = -6.61 eV per atom
# Total magnetic moment = 0.0 μB per cell
data_Ti2CrCd
_cell_length_a 3.099
_cell_length_b 3.099
_cell_length_c 6.857
_cell_angle_alpha 90.00
_cell_angle_beta 90.00
_cell_angle_gamma 90.00
_space_group_name_H-M_alt 'P 4/m m m'
_space_group_IT_number 123
_space_group_name_Hall '-P 4 2'
loop_
_atom_site_label
_atom_site_type_symbol
_atom_site_fract_x
_atom_site_fract_y
_atom_site_fract_z
Ti1 Ti 0.000 0.000 0.203
Cr1 Cr 0.500 0.500 0.000
Cd1 Cd 0.500 0.500 0.500